1.
The following is a GGA-PBE calculation of crystalline BeInHg2 at its relaxed geometry, from Alexandria via LeMat-Bulk.

```
data_BeInHg2
_cell_length_a 4.3569
_cell_length_b 4.3569
_cell_length_c 8.9402
_cell_angle_alpha 90.00
_cell_angle_beta 90.00
_cell_angle_gamma 90.00
_space_group_name_H-M_alt 'I -4 m 2'
_space_group_IT_number 119
_space_group_name_Hall 'I -4 -2'
loop_
_atom_site_label
_atom_site_fract_x
_atom_site_fract_y
_atom_site_fract_z
Be1 0.0000 0.0000 0.0000
In1 0.0000 0.5000 0.2500
Hg1 0.0000 0.0000 0.5000
Hg2 0.0000 0.5000 0.7500
```

Calculated values
E_form: 0.470 eV/atom
DFT total energy: -5.19 eV/f.u.
V: 84.85 Å³/f.u.



2.
The following is a GGA-PBE calculation of crystalline BeIn2Hg2 at its relaxed geometry, from Alexandria via LeMat-Bulk.

```
data_BeIn2Hg2
_cell_length_a 6.6331
_cell_length_b 6.6331
_cell_length_c 5.5449
_cell_angle_alpha 90.00
_cell_angle_beta 90.00
_cell_angle_gamma 90.00
_space_group_name_H-M_alt 'P 4/m b m'
_space_group_IT_number 127
_space_group_name_Hall '-P 4 2ab'
loop_
_atom_site_label
_atom_site_fract_x
_atom_site_fract_y
_atom_site_fract_z
Be1 0.0000 0.0000 0.0000
In1 0.1705 0.3295 0.5000
Hg1 0.1818 0.6818 0.0000
```

Calculated values
E_form: 0.279 eV/atom
DFT total energy: -8.41 eV/f.u.
V: 121.98 Å³/f.u.



3.
The following is a GGA-PBE calculation of crystalline BeIn4Hg at its relaxed geometry, from Alexandria via LeMat-Bulk.

```
data_BeIn4Hg
_cell_length_a 8.6912
_cell_length_b 8.6912
_cell_length_c 8.6912
_cell_angle_alpha 90.00
_cell_angle_beta 90.00
_cell_angle_gamma 90.00
_space_group_name_H-M_alt 'F -4 3 m'
_space_group_IT_number 216
_space_group_name_Hall 'F -4 2 3'
loop_
_atom_site_label
_atom_site_fract_x
_atom_site_fract_y
_atom_site_fract_z
Be1 0.0000 0.0000 0.0000
In1 0.1253 0.1253 0.3747
Hg1 0.2500 0.2500 0.7500
```

Calculated values
E_form: 0.544 eV/atom
DFT total energy: -11.71 eV/f.u.
V: 164.13 Å³/f.u.



4.
The following is a GGA-PBE calculation of crystalline BeInHg2 at its relaxed geometry, from Alexandria via LeMat-Bulk.

```
data_BeInHg2
_cell_length_a 4.4099
_cell_length_b 4.4099
_cell_length_c 4.3089
_cell_angle_alpha 90.00
_cell_angle_beta 90.00
_cell_angle_gamma 90.00
_space_group_name_H-M_alt 'P 4/m m m'
_space_group_IT_number 123
_space_group_name_Hall '-P 4 2'
loop_
_atom_site_label
_atom_site_fract_x
_atom_site_fract_y
_atom_site_fract_z
Be1 0.0000 0.0000 0.0000
In1 0.5000 0.5000 0.0000
Hg1 0.0000 0.5000 0.5000
```

Calculated values
E_form: 0.481 eV/atom
DFT total energy: -5.14 eV/f.u.
V: 83.80 Å³/f.u.



5.
The following is a GGA-PBE calculation of crystalline Be2InHg2 at its relaxed geometry, from Alexandria via LeMat-Bulk.

```
data_Be2InHg2
_cell_length_a 3.8411
_cell_length_b 3.8411
_cell_length_c 12.5496
_cell_angle_alpha 90.00
_cell_angle_beta 90.00
_cell_angle_gamma 90.00
_space_group_name_H-M_alt 'I 4/m m m'
_space_group_IT_number 139
_space_group_name_Hall '-I 4 2'
loop_
_atom_site_label
_atom_site_fract_x
_atom_site_fract_y
_atom_site_fract_z
Be1 0.0000 0.5000 0.2500
In1 0.0000 0.0000 0.0000
Hg1 0.0000 0.0000 0.3762
```

Calculated values
E_form: 0.402 eV/atom
DFT total energy: -8.78 eV/f.u.
V: 92.58 Å³/f.u.



6.
The following is a GGA-PBE calculation of crystalline BeInHg2 at its relaxed geometry, from Alexandria via LeMat-Bulk.

```
data_BeInHg2
_cell_length_a 7.0647
_cell_length_b 7.0647
_cell_length_c 7.0647
_cell_angle_alpha 90.00
_cell_angle_beta 90.00
_cell_angle_gamma 90.00
_space_group_name_H-M_alt 'F -4 3 m'
_space_group_IT_number 216
_space_group_name_Hall 'F -4 2 3'
loop_
_atom_site_label
_atom_site_fract_x
_atom_site_fract_y
_atom_site_fract_z
Be1 0.0000 0.0000 0.0000
In1 0.2500 0.2500 0.2500
Hg1 0.0000 0.0000 0.5000
Hg2 0.2500 0.2500 0.7500
```

Calculated values
E_form: 0.493 eV/atom
DFT total energy: -5.10 eV/f.u.
V: 88.15 Å³/f.u.